1.
Entry from Alexandria: a PBEsol-optimized structure of Y2AlFe (meta-GGA SCAN).

The structure belongs to space group Imm2 (No. 44); the cell edges are 3.3359, 4.8423 and 10.2465 Å and the angles 90.00°, 90.00° and 90.00°. The asymmetric unit holds Y at (0.0000, 0.0000, 0.0000), Y at (0.0000, 0.5000, 0.2034), Al at (0.0000, 0.5000, 0.7933) and Fe at (0.0000, 0.0000, 0.4689).

The value obtained for the density is 5.23 Mg/m³. The volume comes out at 20.689 A^3/atom. As for the energy: -20.498 eV per atom. The value obtained for the calculated formation energy is -0.11 eV/atom.

2.
Entry from Alexandria: a PBEsol-optimized structure of Y2AlFe (meta-GGA SCAN).

The structure belongs to space group F-43m (No. 216); the cell edges are 6.7506, 6.7506 and 6.7506 Å and the angles 90.00°, 90.00° and 90.00°. The asymmetric unit holds Y at (0.0000, 0.0000, 0.0000), Y at (0.2500, 0.2500, 0.2500), Al at (0.0000, 0.0000, 0.5000) and Fe at (0.2500, 0.2500, 0.7500).

The value obtained for the density is 5.63 Mg/m³. The volume comes out at 19.227 A^3/atom. As for the energy: -20.271 eV per atom. The value obtained for the calculated formation energy is 0.12 eV/atom.